Record 1
LiMnW | SCAN | single point on PBEsol structure

a b c (Å): 3.9787 3.9787 3.9787
angles (deg): 60.00 60.00 60.00
Closest atoms and distances in Å follow each position.
Positions (direct):
1 Li 0.0000 0.0000 0.0000  4 W 2.44
2 Mn 0.5000 0.5000 0.5000  4 W 2.44
3 W 0.7500 0.7500 0.7500  4 Li 2.44, 4 Mn 2.44

Values from the calculation:
Symmetry: F-43m (216)
E_form: 1.282 eV per atom
Energy above the most stable polymorph in this dataset: 891 meV per atom
E: -86.5 eV/cell

Record 2
LiMnW | SCAN | single point on PBEsol structure

a b c (Å): 2.5211 4.1434 4.1434
angles (deg): 120.00 90.00 90.00
Closest atoms and distances in Å follow each position.
Positions (direct):
1 Li 0.9744 0.0000 0.0000  3 Mn 2.52, 2 Li 2.52, 3 W 2.59
2 Mn 0.6624 0.3333 0.6667  3 W 2.51, 3 Li 2.52, 2 Mn 2.52
3 W 0.3632 0.6667 0.3333  3 Mn 2.51, 2 W 2.52, 3 Li 2.59

Values from the calculation:
Symmetry: P3m1 (156)
E_form: 0.391 eV per atom
Energy above the most stable polymorph in this dataset: 0 meV per atom
E: -89.2 eV/cell